No. 1
The following is a PBE-GGA calculation of a geometry-optimized Hg2As2Pt structure, from the Alexandria database.

abc: 3.6125 3.6125 16.7273
angles: 90.00 90.00 90.00
With the nearest neighbours (Å) after each atom.
Fractional positions:
1 Hg 0.0000 0.0000 0.0887  4 Pt 2.95, 1 Hg 2.97, 4 As 3.25
2 Hg 0.0000 0.0000 0.9113  4 Pt 2.95, 1 Hg 2.97, 4 As 3.25
3 Hg 0.5000 0.5000 0.4113  4 Pt 2.95, 1 Hg 2.97, 4 As 3.25
4 Hg 0.5000 0.5000 0.5887  4 Pt 2.95, 1 Hg 2.97, 4 As 3.25
5 As 0.0000 0.5000 0.2500  4 As 2.55
6 As 0.0000 0.5000 0.7500  4 As 2.55
7 As 0.5000 0.0000 0.2500  4 As 2.55
8 As 0.5000 0.0000 0.7500  4 As 2.55
9 Pt 0.0000 0.0000 0.5000  8 Hg 2.95
10 Pt 0.5000 0.5000 0.0000  8 Hg 2.95

The calculation puts the energy of formation at 343 meV per atom. The total energy comes out at -28.45 eV for the cell shown. The polymorph energy (0 for the lowest one) comes out at 429 meV per atom.

=====

No. 2
The following is a PBE-GGA calculation of a geometry-optimized DyYGeRu structure, from the Alexandria database.

abc: 3.8549 4.2381 10.9166
angles: 90.00 90.00 90.00
With the nearest neighbours (Å) after each atom.
Fractional positions:
1 Dy 0.0000 0.0000 0.0000  4 Ru 2.92, 3 Ge 3.08-3.23
2 Dy 0.0000 0.5000 0.5000  4 Ru 2.92, 3 Ge 3.08-3.23
3 Y 0.5000 0.0000 0.2813  3 Ru 2.95-3.29, 4 Ge 2.98
4 Y 0.5000 0.5000 0.7813  3 Ru 2.95-3.29, 4 Ge 2.98
5 Ge 0.0000 0.0000 0.7045  2 Ru 2.55
6 Ge 0.0000 0.5000 0.2045  2 Ru 2.55
7 Ru 0.5000 0.0000 0.5511  2 Ge 2.55
8 Ru 0.5000 0.5000 0.0511  2 Ge 2.55

The calculation puts the energy of formation at -634 meV per atom. The total energy comes out at -54.99 eV for the cell shown. The polymorph energy (0 for the lowest one) comes out at 0 meV per atom.

=====

No. 3
The following is a PBE-GGA calculation of a geometry-optimized CaCrB14 structure, from the Alexandria database.

abc: 7.3261 7.3261 7.3261
angles: 132.73 87.48 111.43
With the nearest neighbours (Å) after each atom.
Fractional positions:
1 Ca 0.3895 0.1395 0.2500  10 B 2.52-2.80
2 Ca 0.6105 0.8605 0.7500  10 B 2.52-2.80
3 Cr 0.0000 0.0000 0.5000  8 B 2.16-2.37
4 Cr 0.0000 0.5000 0.0000  8 B 2.16-2.37
5 B 0.0076 0.8726 0.1350  3 B 1.73-1.76
6 B 0.0321 0.2049 0.3308  6 B 1.73-1.85
7 B 0.0321 0.7013 0.8272  6 B 1.73-1.85
8 B 0.0822 0.6685 0.4137  6 B 1.76-1.86
9 B 0.1987 0.5323 0.6664  6 B 1.77-1.86
10 B 0.2219 0.5022 0.4006  6 B 1.80-1.87
11 B 0.2219 0.8213 0.7197  6 B 1.80-1.87
12 B 0.2376 0.8726 0.3650  3 B 1.73-1.76
13 B 0.2452 0.3315 0.9137  6 B 1.76-1.86
14 B 0.3658 0.5323 0.8336  6 B 1.77-1.86
15 B 0.3741 0.2049 0.6728  6 B 1.73-1.85
16 B 0.3741 0.7013 0.1692  6 B 1.73-1.85
17 B 0.3984 0.1787 0.9006  6 B 1.80-1.87
18 B 0.3984 0.4978 0.2197  6 B 1.80-1.87
19 B 0.6016 0.5022 0.7803  6 B 1.80-1.87
20 B 0.6016 0.8213 0.0994  6 B 1.80-1.87
21 B 0.6259 0.2987 0.8308  6 B 1.73-1.85
22 B 0.6259 0.7951 0.3272  6 B 1.73-1.85
23 B 0.6342 0.4677 0.1664  6 B 1.77-1.86
24 B 0.7548 0.6685 0.0863  6 B 1.76-1.86
25 B 0.7624 0.1274 0.6350  3 B 1.73-1.76
26 B 0.7781 0.1787 0.2803  6 B 1.80-1.87
27 B 0.7781 0.4978 0.5994  6 B 1.80-1.87
28 B 0.8013 0.4677 0.3336  6 B 1.77-1.86
29 B 0.9178 0.3315 0.5863  6 B 1.76-1.86
30 B 0.9679 0.2987 0.1728  6 B 1.73-1.85
31 B 0.9679 0.7951 0.6692  6 B 1.73-1.85
32 B 0.9924 0.1274 0.8650  3 B 1.73-1.76

The calculation puts the energy of formation at -159 meV per atom. The total energy comes out at -215.31 eV for the cell shown.

=====

No. 4
The following is a PBE-GGA calculation of a geometry-optimized CaAl2P structure, from the Alexandria database.

abc: 5.4976 7.3912 4.3861
angles: 90.00 90.00 90.00
With the nearest neighbours (Å) after each atom.
Fractional positions:
1 Ca 0.0000 0.0000 0.0000  2 P 2.75
2 Ca 0.5000 0.5000 0.0000  2 P 2.75
3 Al 0.0000 0.3180 0.5000  2 P 2.57, 1 Al 2.69
4 Al 0.0000 0.6820 0.5000  2 P 2.57, 1 Al 2.69
5 Al 0.5000 0.1820 0.5000  2 P 2.57, 1 Al 2.69
6 Al 0.5000 0.8180 0.5000  2 P 2.57, 1 Al 2.69
7 P 0.0000 0.5000 0.0000  4 Al 2.57, 2 Ca 2.75
8 P 0.5000 0.0000 0.0000  4 Al 2.57, 2 Ca 2.75

The calculation puts the energy of formation at -280 meV per atom. The total energy comes out at -32.03 eV for the cell shown.